# 1
RbCr2TcAu | GGA-PBE | relaxed

Calculated values
Formation energy ... 31.08 kcal/mol of atoms

abc: 4.704 4.704 6.301
angles: 90.00 90.00 90.00
Space group P4/mmm (No. 123)
Symmetry-distinct sites (fractional):
1 Rb 0.000 0.000 0.000
2 Cr 0.000 0.500 0.500
3 Tc 0.000 0.000 0.500
4 Au 0.500 0.500 0.000

=====

# 2
RbCrTe3Au | GGA-PBE | relaxed

Calculated values
Uncorrected formation energy ... -382 meV/atom

abc: 9.194 4.076 10.797
angles: 90.00 113.43 90.00
Space group P2_1/m (No. 11)
Symmetry-distinct sites (fractional):
1 Rb 0.234 0.250 0.279
2 Cr 0.323 0.750 0.851
3 Te 0.135 0.250 0.877
4 Te 0.266 0.750 0.582
5 Te 0.465 0.750 0.130
6 Au 0.051 0.250 0.607

=====

# 3
Rb2CrWAu | GGA-PBE | relaxed

Calculated values
Formation energy ... 37.97 kcal/mol of atoms

abc: 6.518 6.518 5.256
angles: 90.00 90.00 90.00
Space group P4/mmm (No. 123)
Symmetry-distinct sites (fractional):
1 Rb 0.000 0.500 0.000
2 Cr 0.000 0.000 0.500
3 W 0.500 0.500 0.500
4 Au 0.000 0.000 0.000

=====

# 4
Cr2ReAu | GGA-PBE | relaxed

Calculated values
Formation energy ... 8.43 kcal/mol of atoms
Distance to the lowest polymorph of the same formula ... 119 meV per atom

abc: 3.031 4.282 8.637
angles: 90.00 90.00 90.00
Space group Imm2 (No. 44)
Symmetry-distinct sites (fractional):
1 Cr 0.000 0.000 0.000
2 Cr 0.000 0.500 0.294
3 Re 0.000 0.000 0.546
4 Au 0.000 0.500 0.764

=====

Summary of calculated density in Mg/m³
5.8 6.4 4.5 14.4
(order as listed above)